# AgSb

AgSb at its PBEsol-relaxed geometry (SCAN, Alexandria via LeMat-Bulk).

Geometry as POSCAR:
```
AgSb
1.0
3.0120 0.0000 0.0000
0.0000 4.0866 0.0000
-1.5060 0.0000 7.1068
Sb Ag
2 2
Direct
0.9106 0.7500 0.8212
0.0894 0.2500 0.1788
0.7000 0.7500 0.4000
0.3000 0.2500 0.6000
```

size of the total moment	0.00	μB per formula unit
excess energy over the best structure of this formula in the dataset	0.0000	eV per atom
density	8.718	g/cm³
N(E_F)	1.51	states/eV per cell
raw formation energy	0.14	eV/f.u.


# Co5Rh

Co5Rh at its PBEsol-relaxed geometry (SCAN, Alexandria via LeMat-Bulk).

Geometry as POSCAR:
```
Co5Rh
1.0
-0.5119 -2.4174 -0.4775
1.4429 0.3186 -3.1597
6.6678 -1.9740 2.8457
Rh Co
1 5
Direct
0.5000 0.5000 0.0000
0.0000 0.0000 0.8197
0.5000 0.5000 0.6596
0.0000 0.0000 0.5000
0.5000 0.5000 0.3404
0.0000 0.0000 0.1803
```

E_form	0.030	eV per atom
size of the total moment	10.13	μB per formula unit
density	10.009	g/cm³
N(E_F)	4.30	states/eV per cell